DyPuAs2 | the Alexandria database | PBE-GGA | relaxed; space-group type = No. 166; E_tot = -8.34 eV/atom; calculated volume = 24.81 A^3/atom; formation enthalpy at 0 K = -1.28 eV per atom
1.0
2.067 1.194 6.704
-2.067 1.194 6.704
0.000 -2.387 6.704
Dy Pu As
1 1 2
Direct
0.000 0.000 0.000
0.500 0.500 0.500
0.249 0.249 0.249
0.751 0.751 0.751

La2In2Ga | the Alexandria database | PBE-GGA | relaxed; space-group type = No. 127; E_tot = -4.11 eV/atom; calculated volume = 29.06 A^3/atom; formation enthalpy at 0 K = -0.44 eV per atom
1.0
7.594 0.000 0.000
0.000 7.594 0.000
0.000 0.000 5.040
La In Ga
4 4 2
Direct
0.168 0.332 0.000
0.332 0.832 0.000
0.668 0.168 0.000
0.832 0.668 0.000
0.137 0.637 0.500
0.363 0.137 0.500
0.637 0.863 0.500
0.863 0.363 0.500
0.000 0.000 0.500
0.500 0.500 0.500

LaBi5 | the Alexandria database | PBE-GGA | relaxed; space-group type = No. 65; E_tot = -4.38 eV/atom; calculated volume = 31.95 A^3/atom; formation enthalpy at 0 K = -0.32 eV per atom
1.0
2.454 -8.232 0.000
2.454 8.232 0.000
0.000 0.000 4.744
La Bi
1 5
Direct
0.000 0.000 0.000
0.175 0.825 0.500
0.346 0.654 0.000
0.500 0.500 0.500
0.654 0.346 0.000
0.825 0.175 0.500

In3AsPt | the Alexandria database | PBE-GGA | relaxed; space-group type = No. 221; E_tot = -3.75 eV/atom; calculated volume = 27.61 A^3/atom; formation enthalpy at 0 K = 0.03 eV per atom
1.0
5.168 0.000 0.000
0.000 5.168 0.000
0.000 0.000 5.168
In As Pt
3 1 1
Direct
0.000 0.000 0.500
0.000 0.500 0.000
0.500 0.000 0.000
0.500 0.500 0.500
0.000 0.000 0.000

Ir2Os2Rh7 | the Alexandria database | PBE-GGA | relaxed; space-group type = No. 12; E_tot = -7.95 eV/atom; calculated volume = 15.37 A^3/atom; formation enthalpy at 0 K = 0.38 eV per atom
1.0
5.210 -4.184 0.000
5.210 4.184 0.000
-1.638 0.000 3.879
Ir Os Rh
2 2 7
Direct
0.179 0.179 0.168
0.821 0.821 0.832
0.231 0.769 0.000
0.769 0.231 0.000
0.000 0.000 0.500
0.010 0.602 0.306
0.398 0.990 0.694
0.423 0.423 0.664
0.577 0.577 0.336
0.602 0.010 0.306
0.990 0.398 0.694

MgZr2Rh | the Alexandria database | PBE-GGA | relaxed; space-group type = No. 6; E_tot = -6.76 eV/atom; calculated volume = 19.90 A^3/atom; formation enthalpy at 0 K = -0.25 eV per atom
1.0
3.176 0.000 0.000
0.000 4.502 0.000
-1.500 0.000 5.568
Mg Zr Rh
1 2 1
Direct
0.000 0.000 0.000
0.375 0.500 0.762
0.693 0.000 0.461
0.983 0.500 0.284

NiMoOs2 | the Alexandria database | PBE-GGA | relaxed; space-group type = No. 166; E_tot = -9.62 eV/atom; calculated volume = 14.06 A^3/atom; formation enthalpy at 0 K = 0.15 eV per atom
1.0
1.361 0.786 8.767
-1.361 0.786 8.767
0.000 -1.572 8.767
Ni Mo Os
1 1 2
Direct
0.000 0.000 0.000
0.500 0.500 0.500
0.253 0.253 0.253
0.747 0.747 0.747

La2HgW | the Alexandria database | PBE-GGA | relaxed; space-group type = No. 99; E_tot = -5.32 eV/atom; calculated volume = 27.78 A^3/atom; formation enthalpy at 0 K = 0.46 eV per atom
1.0
3.783 0.000 0.000
0.000 3.783 0.000
0.000 0.000 7.764
La Hg W
2 1 1
Direct
0.000 0.000 0.000
0.500 0.500 0.380
0.500 0.500 0.778
0.000 0.000 0.633

formation enthalpy at 0 K of number 2 (La2In2Ga)?
-0.44 eV per atom